{
  "formula": "Y3Tl4Cu2",
  "functional": "PBE",
  "state": "relaxed",
  "lattice_angstrom": [[-2.1850, 0.8173, -4.1883], [5.9203, 0.9236, -0.1645], [-2.1898, -8.7920, -0.5733]],
  "species": ["Tl", "Y", "Y", "Cu", "Tl", "Y", "Tl", "Tl", "Cu"],
  "fractional_positions": [[0.9483, 0.8965, 0.6284], [0.3346, 0.6691, 0.3467], [0.6654, 0.3309, 0.6533], [0.3977, 0.7955, 0.7183], [0.0517, 0.1035, 0.3716], [0.0000, 0.0000, 0.0000], [0.2721, 0.5441, 0.9148], [0.7279, 0.4559, 0.0852], [0.6023, 0.2045, 0.2817]]
}

***

{
  "formula": "Y6TlCu2",
  "functional": "PBE",
  "state": "relaxed",
  "lattice_angstrom": [[-3.5891, -5.6682, -5.3445], [4.0753, -3.7074, 6.5743], [-6.1216, 4.9167, 3.4534]],
  "species": ["Y", "Y", "Y", "Y", "Y", "Tl", "Cu", "Y", "Y", "Cu", "Cu", "Y", "Y", "Y", "Y", "Cu", "Y", "Tl"],
  "fractional_positions": [[0.6939, 0.0165, 0.3226], [0.5310, 0.7157, 0.8153], [0.9004, 0.7157, 0.1847], [0.8012, 0.2373, 0.0385], [0.1988, 0.2373, 0.4361], [0.0000, 0.5000, 0.5000], [0.3495, 0.0000, 0.3495], [0.0996, 0.2843, 0.8153], [0.6939, 0.3713, 0.6774], [0.5000, 0.3813, 0.8813], [0.6505, 0.0000, 0.6505], [0.3061, 0.9835, 0.6774], [0.1988, 0.7627, 0.9615], [0.8012, 0.7627, 0.5639], [0.4690, 0.2843, 0.1847], [0.5000, 0.6187, 0.1187], [0.3061, 0.6287, 0.3226], [0.0000, 0.0000, 0.0000]]
}

***

{
  "formula": "YTlCu3",
  "functional": "PBE",
  "state": "relaxed",
  "lattice_angstrom": [[-1.7383, -0.4827, -4.9292], [-4.5676, -1.8635, 1.7932], [-1.9149, 4.8832, 0.1971]],
  "species": ["Y", "Cu", "Cu", "Cu", "Tl"],
  "fractional_positions": [[0.0000, 0.0000, 0.0000], [0.5000, 0.0000, 0.0000], [0.0000, 0.5000, 0.0000], [0.0000, 0.0000, 0.5000], [0.5000, 0.5000, 0.5000]]
}

***

| no. | magnetization (μB per atom) | electronic total energy (eV/cell) | formation enthalpy at 0 K (eV per formula unit) |
| --- | --- | --- | --- |
| 1 | 0.00 | -39.10 | -2.051 |
| 2 | 0.00 | -102.62 | -1.965 |
| 3 | 0.00 | -16.47 | 4.647 |